[1]
# Li2VGa

A geometry-optimized Li2VGa structure (PBE, the Alexandria database).

a b c (Å): 2.6736 2.6736 10.0460
angles (deg): 82.35 82.35 60.00
Atoms (fractional coordinates):
Ga (0.5000, 0.5000, 0.5000)
V (0.0000, 0.0000, 0.0000)
Li (0.9120, 0.9120, 0.2640)
Li (0.0880, 0.0880, 0.7360)

Results
* total magnetization: 0.000 μB/f.u.
* raw total energy: -15.013 eV per formula unit
* SG: No. 166

[2]
# Li2VGa2

A geometry-optimized Li2VGa2 structure (PBE, the Alexandria database).

a b c (Å): 7.1939 7.1939 2.6715
angles (deg): 90.00 90.00 90.00
Atoms (fractional coordinates):
V (0.0000, 0.0000, 0.0000)
V (0.5000, 0.5000, 0.0000)
Ga (0.1814, 0.6814, 0.5000)
Ga (0.3186, 0.1814, 0.5000)
Ga (0.8186, 0.3186, 0.5000)
Ga (0.6814, 0.8186, 0.5000)
Li (0.6171, 0.1171, 0.0000)
Li (0.1171, 0.3829, 0.0000)
Li (0.3829, 0.8829, 0.0000)
Li (0.8829, 0.6171, 0.0000)

Results
* total magnetization: 0.977 μB/f.u.
* raw total energy: -19.157 eV per formula unit
* SG: No. 127

[3]
# Li2VGa

A geometry-optimized Li2VGa structure (PBE, the Alexandria database).

a b c (Å): 7.1272 7.1272 5.6771
angles (deg): 51.12 51.12 90.00
Atoms (fractional coordinates):
V (0.5000, 0.5000, 0.0000)
V (0.2500, 0.7500, 0.5000)
Li (0.6413, 0.1250, 0.2500)
Li (0.3750, 0.3587, 0.7500)
Li (0.8750, 0.8913, 0.7500)
Li (0.1087, 0.6250, 0.2500)
Ga (0.0000, 0.0000, 0.0000)
Ga (0.7500, 0.2500, 0.5000)

Results
* total magnetization: 3.156 μB/f.u.
* raw total energy: -14.484 eV per formula unit
* SG: No. 122

[4]
# LiVGa6

A geometry-optimized LiVGa6 structure (PBE, the Alexandria database).

a b c (Å): 4.7561 4.7561 8.5666
angles (deg): 59.73 59.73 70.83
Atoms (fractional coordinates):
Li (0.5000, 0.5000, 0.5000)
Ga (0.6174, 0.1347, 0.3052)
Ga (0.2899, 0.2899, 0.0681)
Ga (0.1347, 0.6174, 0.3052)
Ga (0.3826, 0.8653, 0.6948)
Ga (0.8653, 0.3826, 0.6948)
Ga (0.7101, 0.7101, 0.9319)
V (0.0000, 0.0000, 0.0000)

Results
* total magnetization: 1.244 μB/f.u.
* raw total energy: -28.922 eV per formula unit
* SG: No. 12

[5]
# Li3VGa

A geometry-optimized Li3VGa structure (PBE, the Alexandria database).

a b c (Å): 4.6600 4.6600 4.6600
angles (deg): 90.00 90.00 90.00
Atoms (fractional coordinates):
Ga (0.0000, 0.0000, 0.0000)
Li (0.0000, 0.0000, 0.5000)
Li (0.0000, 0.5000, 0.0000)
Li (0.5000, 0.0000, 0.0000)
V (0.5000, 0.5000, 0.5000)

Results
* total magnetization: 3.214 μB/f.u.
* raw total energy: -14.760 eV per formula unit
* SG: No. 221

[6]
# LiGa3W

A geometry-optimized LiGa3W structure (PBE, the Alexandria database).

a b c (Å): 4.9328 4.9328 4.9328
angles (deg): 90.00 90.00 90.00
Atoms (fractional coordinates):
Ga (0.0000, 0.5000, 0.0000)
Ga (0.0000, 0.0000, 0.5000)
Ga (0.5000, 0.0000, 0.0000)
Li (0.5000, 0.5000, 0.5000)
W (0.0000, 0.0000, 0.0000)

Results
* total magnetization: 0.000 μB/f.u.
* raw total energy: -22.412 eV per formula unit
* SG: No. 221

[7]
# LiGa2W

A geometry-optimized LiGa2W structure (PBE, the Alexandria database).

a b c (Å): 2.8656 2.8656 9.1256
angles (deg): 80.97 80.97 60.00
Atoms (fractional coordinates):
Ga (0.7493, 0.7493, 0.7520)
Ga (0.2507, 0.2507, 0.2480)
Li (0.0000, 0.0000, 0.0000)
W (0.5000, 0.5000, 0.5000)

Results
* total magnetization: 0.000 μB/f.u.
* raw total energy: -20.948 eV per formula unit
* SG: No. 166

[8]
# LiGa2W

A geometry-optimized LiGa2W structure (PBE, the Alexandria database).

a b c (Å): 2.8431 4.6191 4.6191
angles (deg): 90.00 90.00 90.00
Atoms (fractional coordinates):
W (0.5000, 0.5000, 0.5000)
Ga (0.0000, 0.0000, 0.5000)
Ga (0.0000, 0.5000, 0.0000)
Li (0.5000, 0.0000, 0.0000)

Results
* total magnetization: 0.000 μB/f.u.
* raw total energy: -20.942 eV per formula unit
* SG: No. 123